Model one:
VASP calculation (PBE-GGA) on a relaxed structure of HfBiCl2.

Cell: 4.9859 4.9859 4.9859 Å, 60.00 60.00 60.00°
Last column: nearest neighbours and their distance in Å.
Element x y z (fractional)
Hf: 0.0000 0.0000 0.0000  8 Cl 3.05
Bi: 0.5000 0.5000 0.5000  8 Cl 3.05
Cl: 0.2500 0.2500 0.2500  4 Bi 3.05, 4 Hf 3.05
Cl: 0.7500 0.7500 0.7500  4 Hf 3.05, 4 Bi 3.05

Summary:
As for the crystal system: cubic. The total magnetization comes out at 0.00 μB/f.u.

***

Model two:
VASP calculation (PBE-GGA) on a relaxed structure of HfBiCl2.

Cell: 9.8905 9.8905 9.8905 Å, 153.36 153.36 38.03°
Last column: nearest neighbours and their distance in Å.
Element x y z (fractional)
Hf: 0.0000 0.0000 0.0000  4 Cl 2.77
Hf: 0.7500 0.2500 0.5000  4 Cl 2.77
Bi: 0.2500 0.7500 0.5000  4 Cl 2.92, 4 Hf 3.22
Bi: 0.5000 0.5000 0.0000  4 Cl 2.92, 4 Hf 3.22
Cl: 0.0816 0.6250 0.9566  2 Hf 2.77, 2 Bi 2.92, 2 Cl 2.96
Cl: 0.3750 0.3316 0.4566  2 Hf 2.77, 2 Bi 2.92, 2 Cl 2.96
Cl: 0.6684 0.1250 0.0434  2 Hf 2.77, 2 Bi 2.92, 2 Cl 2.96
Cl: 0.8750 0.9184 0.5434  2 Hf 2.77, 2 Bi 2.92, 2 Cl 2.96

Summary:
As for the crystal system: tetragonal. The total magnetization comes out at 0.54 μB/f.u.

***

Model three:
VASP calculation (PBE-GGA) on a relaxed structure of HfBiCl2.

Cell: 12.7216 12.7216 12.7216 Å, 14.82 14.82 14.82°
Last column: nearest neighbours and their distance in Å.
Element x y z (fractional)
Hf: 0.0000 0.0000 0.0000  6 Cl 2.62
Bi: 0.5000 0.5000 0.5000  6 Bi 3.28
Cl: 0.3812 0.3812 0.3812  3 Hf 2.62
Cl: 0.6188 0.6188 0.6188  3 Hf 2.62

Summary:
As for the crystal system: trigonal. The total magnetization comes out at 0.00 μB/f.u.

***

The structure with the most favorable energy is model three; the runner-up is 521 meV/atom above it.